Below is a relaxed HfPPt crystal, with properties calculated at the PBE level.

Results
E_form: -0.508 eV/atom

Cell: 4.2421 18.5653 3.3411 Å, 90.00 90.00 90.00°
With the nearest neighbours (Å) after each atom.
Space group Cmcm (No. 63)
Inequivalent atoms, fractional coordinates:
Hf 0.0000 0.1934 0.2500 x4  5 Pt 2.68-2.76
P 0.0000 0.4631 0.2500 x4  2 P 2.16, 1 Pt 2.33
Pt 0.0000 0.3378 0.2500 x4  1 P 2.33


Below is a relaxed RbHfP2Pt crystal, with properties calculated at the PBE level.

Results
E_form: 2.016 eV/atom

Cell: 4.9729 4.9729 4.9553 Å, 90.00 90.00 90.00°
With the nearest neighbours (Å) after each atom.
Space group P4/mmm (No. 123)
Inequivalent atoms, fractional coordinates:
Rb 0.0000 0.0000 0.0000 x1  2 Pt 2.48, 4 P 2.49
Hf 0.5000 0.5000 0.5000 x1  8 P 3.51, 4 Pt 3.52
P 0.0000 0.5000 0.0000 x2  2 Rb 2.49
Pt 0.0000 0.0000 0.5000 x1  2 Rb 2.48


Below is a relaxed HfZnP2Pt crystal, with properties calculated at the PBE level.

Results
E_form: 0.574 eV/atom

Cell: 4.5847 4.5847 5.2482 Å, 90.00 90.00 90.00°
With the nearest neighbours (Å) after each atom.
Space group P4/mmm (No. 123)
Inequivalent atoms, fractional coordinates:
Hf 0.0000 0.0000 0.0000 x1  2 Pt 2.62
Zn 0.5000 0.5000 0.0000 x1  4 Hf 3.24, 8 P 3.48
P 0.0000 0.5000 0.5000 x2  2 Pt 2.29
Pt 0.0000 0.0000 0.5000 x1  4 P 2.29


Below is a relaxed PuHfP2 crystal, with properties calculated at the PBE level.

Results
E_form: -1.282 eV/atom
Energy above the lowest structure with this stoichiometry: 0 meV per atom

Cell: 3.8308 3.8308 18.8625 Å, 90.00 90.00 120.00°
With the nearest neighbours (Å) after each atom.
Space group R-3m (No. 166, hexagonal axes)
Inequivalent atoms, fractional coordinates:
Pu 0.0000 0.0000 0.0000 x3  6 P 2.77
Hf 0.0000 0.0000 0.5000 x3  6 P 2.66
P 0.0000 0.0000 0.2446 x6  3 Hf 2.66, 3 Pu 2.77


Below is a relaxed Pu4HfP5 crystal, with properties calculated at the PBE level.

Results
E_form: -1.186 eV/atom

Cell: 3.9164 5.5659 19.7236 Å, 90.00 90.00 90.00°
With the nearest neighbours (Å) after each atom.
Space group Immm (No. 71)
Inequivalent atoms, fractional coordinates:
Pu 0.0000 0.0000 0.0991 x4  6 P 2.77-2.81
Pu 0.0000 0.0000 0.3034 x4  6 P 2.78-2.83
Hf 0.0000 0.0000 0.5000 x2  6 P 2.68-2.78
P 0.0000 0.5000 0.0928 x4  2 Hf 2.68, 4 Pu 2.79-2.83
P 0.0000 0.5000 0.2989 x4  6 Pu 2.78-2.81
P 0.0000 0.5000 0.5000 x2  4 Pu 2.77, 2 Hf 2.78


Below is a relaxed PuHf2P3 crystal, with properties calculated at the PBE level.

Results
E_form: -1.270 eV/atom

Cell: 3.7769 5.3584 11.3544 Å, 90.00 90.00 90.00°
With the nearest neighbours (Å) after each atom.
Space group Immm (No. 71)
Inequivalent atoms, fractional coordinates:
Pu 0.0000 0.0000 0.0000 x2  6 P 2.68-2.73
Hf 0.0000 0.0000 0.3349 x4  6 P 2.63-2.68
P 0.0000 0.5000 0.0000 x2  4 Hf 2.66, 2 Pu 2.68
P 0.0000 0.5000 0.3260 x4  4 Hf 2.63-2.68, 2 Pu 2.73


Below is a relaxed PuHfP2 crystal, with properties calculated at the PBE level.

Results
E_form: -1.164 eV/atom
Energy above the lowest structure with this stoichiometry: 118 meV per atom

Cell: 3.7274 3.7274 20.2999 Å, 90.00 90.00 120.00°
With the nearest neighbours (Å) after each atom.
Space group R3m (No. 160, hexagonal axes)
Inequivalent atoms, fractional coordinates:
Pu 0.0000 0.0000 0.0000 x3  6 P 2.79-2.89
Hf 0.0000 0.0000 0.8276 x3  6 P 2.62-2.67
P 0.0000 0.0000 0.2385 x3  3 Hf 2.67, 3 Pu 2.89
P 0.0000 0.0000 0.4209 x3  3 Hf 2.62, 3 Pu 2.79


Below is a relaxed PuHf2P crystal, with properties calculated at the PBE level.

Results
E_form: -0.197 eV/atom

Cell: 3.4503 3.4503 27.5516 Å, 90.00 90.00 120.00°
With the nearest neighbours (Å) after each atom.
Space group R-3m (No. 166, hexagonal axes)
Inequivalent atoms, fractional coordinates:
Pu 0.0000 0.0000 0.0000 x3  2 Hf 3.05
Hf 0.0000 0.0000 0.1108 x6  3 P 2.52
P 0.0000 0.0000 0.5000 x3  6 Hf 2.52


Below is a relaxed PuHf3P4 crystal, with properties calculated at the PBE level.

Results
E_form: -1.273 eV/atom

Cell: 7.5523 10.6097 3.7560 Å, 90.00 90.00 90.00°
With the nearest neighbours (Å) after each atom.
Space group Cmmm (No. 65)
Inequivalent atoms, fractional coordinates:
Pu 0.0000 0.0000 0.0000 x2  6 P 2.70-2.71
Hf 0.0000 0.5000 0.0000 x2  6 P 2.61
Hf 0.2500 0.2500 0.5000 x4  6 P 2.65-2.66
P 0.0000 0.2543 0.0000 x4  5 Hf 2.61-2.66, 1 Pu 2.70
P 0.2407 0.5000 0.5000 x4  4 Hf 2.61-2.65, 2 Pu 2.71


Below is a relaxed Pu2HfScP4 crystal, with properties calculated at the PBE level.

Results
E_form: -1.307 eV/atom

Cell: 6.6375 3.8632 6.6992 Å, 90.00 109.60 90.00°
With the nearest neighbours (Å) after each atom.
Space group P2/m (No. 10)
Inequivalent atoms, fractional coordinates:
Pu 0.0000 0.0000 0.0000 x1  6 P 2.78-2.79
Pu 0.0000 0.5000 0.5000 x1  6 P 2.76-2.77
Hf 0.5000 0.0000 0.5000 x1  6 P 2.66-2.67
Sc 0.5000 0.5000 0.0000 x1  6 P 2.69
P 0.2633 0.0000 0.7517 x2  1 Hf 2.66, 2 Sc 2.69, 3 Pu 2.77-2.79
P 0.2646 0.5000 0.2572 x2  2 Hf 2.67, 1 Sc 2.69, 3 Pu 2.76-2.78


Below is a relaxed Pu3Hf2ScP6 crystal, with properties calculated at the PBE level.

Results
E_form: -1.301 eV/atom

Cell: 6.6752 11.5703 6.6443 Å, 90.00 109.57 90.00°
With the nearest neighbours (Å) after each atom.
Space group C2/m (No. 12)
Inequivalent atoms, fractional coordinates:
Pu 0.0000 0.0000 0.0000 x2  6 P 2.76-2.78
Pu 0.0000 0.3345 0.0000 x4  6 P 2.77-2.78
Hf 0.0000 0.1670 0.5000 x4  6 P 2.66
Sc 0.0000 0.5000 0.5000 x2  6 P 2.68-2.69
P 0.2420 0.0000 0.7343 x4  2 Hf 2.66, 1 Sc 2.68, 3 Pu 2.76-2.78
P 0.2467 0.3320 0.7355 x8  2 Hf 2.66, 1 Sc 2.69, 3 Pu 2.77-2.78


Below is a relaxed Pu2HfTaP4 crystal, with properties calculated at the PBE level.

Results
E_form: -1.117 eV/atom

Cell: 6.5578 3.7829 6.5835 Å, 90.00 109.32 90.00°
With the nearest neighbours (Å) after each atom.
Space group P2/m (No. 10)
Inequivalent atoms, fractional coordinates:
Pu 0.0000 0.0000 0.0000 x1  6 P 2.77
Pu 0.5000 0.5000 0.0000 x1  6 P 2.73-2.74
Hf 0.0000 0.5000 0.5000 x1  6 P 2.63
Ta 0.5000 0.0000 0.5000 x1  6 P 2.59
P 0.2486 0.0000 0.7313 x2  1 Ta 2.59, 2 Hf 2.63, 3 Pu 2.74-2.77
P 0.2620 0.5000 0.2710 x2  2 Ta 2.59, 1 Hf 2.63, 3 Pu 2.73-2.77


Below is a relaxed TbPu2HfP4 crystal, with properties calculated at the PBE level.

Results
E_form: -1.304 eV/atom

Cell: 6.7655 3.9217 6.7981 Å, 90.00 109.52 90.00°
With the nearest neighbours (Å) after each atom.
Space group P2/m (No. 10)
Inequivalent atoms, fractional coordinates:
Tb 0.0000 0.0000 0.0000 x1  6 P 2.78-2.79
Pu 0.5000 0.0000 0.5000 x1  6 P 2.75-2.76
Pu 0.5000 0.5000 0.0000 x1  6 P 2.84-2.86
Hf 0.0000 0.5000 0.5000 x1  6 P 2.68-2.70
P 0.2388 0.0000 0.7368 x2  2 Hf 2.70, 3 Pu 2.76-2.84, 1 Tb 2.78
P 0.2459 0.5000 0.2617 x2  1 Hf 2.68, 3 Pu 2.75-2.86, 2 Tb 2.79


Below is a relaxed Tb2PuHfP4 crystal, with properties calculated at the PBE level.

Results
E_form: -1.422 eV/atom

Cell: 6.7803 3.9251 6.7994 Å, 90.00 109.27 90.00°
With the nearest neighbours (Å) after each atom.
Space group P2/m (No. 10)
Inequivalent atoms, fractional coordinates:
Tb 0.0000 0.0000 0.0000 x1  6 P 2.86
Tb 0.5000 0.5000 0.0000 x1  6 P 2.79-2.80
Pu 0.0000 0.5000 0.5000 x1  6 P 2.75-2.76
Hf 0.5000 0.0000 0.5000 x1  6 P 2.68-2.70
P 0.2544 0.0000 0.7382 x2  1 Hf 2.68, 2 Pu 2.76, 3 Tb 2.80-2.86
P 0.2631 0.5000 0.2660 x2  2 Hf 2.70, 1 Pu 2.75, 3 Tb 2.79-2.86


Below is a relaxed TmPu2HfP4 crystal, with properties calculated at the PBE level.

Results
E_form: -1.311 eV/atom

Cell: 6.7325 3.9017 6.7611 Å, 90.00 109.56 90.00°
With the nearest neighbours (Å) after each atom.
Space group P2/m (No. 10)
Inequivalent atoms, fractional coordinates:
Tm 0.0000 0.0000 0.0000 x1  6 P 2.75-2.76
Pu 0.5000 0.0000 0.5000 x1  6 P 2.76-2.77
Pu 0.5000 0.5000 0.0000 x1  6 P 2.82-2.84
Hf 0.0000 0.5000 0.5000 x1  6 P 2.67-2.69
P 0.2373 0.0000 0.7390 x2  2 Hf 2.69, 1 Tm 2.75, 3 Pu 2.77-2.82
P 0.2423 0.5000 0.2575 x2  1 Hf 2.67, 2 Tm 2.76, 3 Pu 2.76-2.84


Below is a relaxed Tm2PuHfP4 crystal, with properties calculated at the PBE level.

Results
E_form: -1.417 eV/atom

Cell: 6.7207 3.8884 6.7231 Å, 90.00 109.30 90.00°
With the nearest neighbours (Å) after each atom.
Space group P2/m (No. 10)
Inequivalent atoms, fractional coordinates:
Tm 0.0000 0.0000 0.0000 x1  6 P 2.81
Tm 0.5000 0.5000 0.0000 x1  6 P 2.74-2.75
Pu 0.0000 0.5000 0.5000 x1  6 P 2.75
Hf 0.5000 0.0000 0.5000 x1  6 P 2.67-2.69
P 0.2562 0.0000 0.7440 x2  1 Hf 2.67, 3 Tm 2.75-2.81, 2 Pu 2.75
P 0.2611 0.5000 0.2604 x2  2 Hf 2.69, 3 Tm 2.74-2.81, 1 Pu 2.75


Below is a relaxed TmPuHf2P4 crystal, with properties calculated at the PBE level.

Results
E_form: -1.371 eV/atom

Cell: 6.5941 3.8161 6.6578 Å, 90.00 109.31 90.00°
With the nearest neighbours (Å) after each atom.
Space group P2/m (No. 10)
Inequivalent atoms, fractional coordinates:
Tm 0.0000 0.0000 0.0000 x1  6 P 2.76
Pu 0.5000 0.5000 0.0000 x1  6 P 2.76
Hf 0.0000 0.5000 0.5000 x1  6 P 2.64-2.65
Hf 0.5000 0.0000 0.5000 x1  6 P 2.65
P 0.2442 0.0000 0.7345 x2  3 Hf 2.65, 1 Tm 2.76, 2 Pu 2.76
P 0.2541 0.5000 0.2651 x2  3 Hf 2.64-2.65, 2 Tm 2.76, 1 Pu 2.76


Below is a relaxed PuHf2UP4 crystal, with properties calculated at the PBE level.

Results
E_form: -1.226 eV/atom

Cell: 6.5727 3.8130 6.6563 Å, 90.00 109.32 90.00°
With the nearest neighbours (Å) after each atom.
Space group P2/m (No. 10)
Inequivalent atoms, fractional coordinates:
Pu 0.0000 0.0000 0.0000 x1  6 P 2.76
Hf 0.5000 0.0000 0.5000 x1  6 P 2.64-2.65
Hf 0.5000 0.5000 0.0000 x1  6 P 2.65
U 0.0000 0.5000 0.5000 x1  6 P 2.74-2.75
P 0.2651 0.0000 0.7535 x2  3 Hf 2.64-2.65, 2 U 2.75, 1 Pu 2.76
P 0.2648 0.5000 0.2563 x2  3 Hf 2.65, 1 U 2.74, 2 Pu 2.76


Below is a relaxed Pu3Hf2UP6 crystal, with properties calculated at the PBE level.

Results
E_form: -1.205 eV/atom

Cell: 6.7087 11.5978 6.7221 Å, 90.00 109.40 90.00°
With the nearest neighbours (Å) after each atom.
Space group C2/m (No. 12)
Inequivalent atoms, fractional coordinates:
Pu 0.0000 0.0000 0.0000 x2  6 P 2.78-2.81
Pu 0.0000 0.3350 0.0000 x4  6 P 2.77-2.81
Hf 0.0000 0.1678 0.5000 x4  6 P 2.66-2.68
U 0.0000 0.5000 0.5000 x2  6 P 2.71-2.73
P 0.2391 0.0000 0.7327 x4  2 Hf 2.67, 1 U 2.71, 3 Pu 2.78-2.80
P 0.2480 0.3299 0.7364 x8  2 Hf 2.66-2.68, 1 U 2.73, 3 Pu 2.77-2.81


Below is a relaxed Pu2HfUP4 crystal, with properties calculated at the PBE level.

Results
E_form: -1.166 eV/atom

Cell: 6.7265 3.8941 6.7632 Å, 90.00 109.37 90.00°
With the nearest neighbours (Å) after each atom.
Space group P2/m (No. 10)
Inequivalent atoms, fractional coordinates:
Pu 0.0000 0.0000 0.0000 x1  6 P 2.77-2.78
Pu 0.5000 0.5000 0.0000 x1  6 P 2.82-2.84
Hf 0.0000 0.5000 0.5000 x1  6 P 2.66-2.69
U 0.5000 0.0000 0.5000 x1  6 P 2.73-2.74
P 0.2399 0.0000 0.7359 x2  2 Hf 2.69, 1 U 2.73, 3 Pu 2.78-2.82
P 0.2443 0.5000 0.2609 x2  1 Hf 2.66, 2 U 2.74, 3 Pu 2.77-2.84